1.
## K2TlTeSe (PBE)

Data for a relaxed K2TlTeSe crystal.

theoretical density	3.91	g/cm3
size of the total moment	0.3	μB/cell
E above lowest polymorph	206	meV per atom
ΔE_f (raw)	-2.90	eV per formula unit
Fermi-level density of states	4.87	states/eV/cell
crystal system	tetragonal

Cell: 6.151 6.151 5.496 Å, 90.00 90.00 90.00°
Fractional coordinates of all 5 atoms:
Se1 0.000 0.000 0.000
K1 0.500 0.000 0.000
Te1 0.500 0.500 0.500
K2 0.000 0.500 0.000
Tl1 0.000 0.000 0.500

---

2.
## KTl2TeSe4 (PBE)

Data for a relaxed KTl2TeSe4 crystal.

theoretical density	6.21	g/cm3
size of the total moment	0.0	μB/cell
ΔE_f (raw)	-2.78	eV per formula unit
Fermi-level density of states	8.40	states/eV/cell
crystal system	monoclinic

Cell: 8.788 8.788 8.674 Å, 119.60 119.60 90.61°
Fractional coordinates of all 16 atoms:
Tl1 0.500 0.500 0.000
Tl2 0.500 0.000 0.000
Se1 0.254 0.250 0.475
K1 0.000 0.500 0.500
Se2 0.711 0.254 0.482
Te1 0.000 0.000 0.000
Se3 0.250 0.246 0.025
Te2 0.500 0.500 0.500
Se4 0.746 0.750 0.525
Se5 0.246 0.789 0.018
Se6 0.754 0.211 0.982
Tl3 0.500 0.000 0.500
Se7 0.750 0.754 0.975
Tl4 0.000 0.000 0.500
K2 0.000 0.500 0.000
Se8 0.289 0.746 0.518

---

3.
## K2TmTeSe4 (PBE)

Data for a relaxed K2TmTeSe4 crystal.

theoretical density	4.76	g/cm3
size of the total moment	0.0	μB/cell
ΔE_f (raw)	-8.51	eV per formula unit
Fermi-level density of states	2.94	states/eV/cell
crystal system	monoclinic

Cell: 8.581 8.581 8.482 Å, 116.74 116.74 90.04°
Fractional coordinates of all 16 atoms:
Se1 0.774 0.306 0.556
K1 0.500 0.000 0.000
Se2 0.741 0.708 0.490
Se3 0.792 0.759 0.010
Te1 0.000 0.000 0.000
Te2 0.500 0.500 0.500
Se4 0.806 0.274 0.056
K2 0.000 0.000 0.500
Se5 0.226 0.694 0.444
K3 0.500 0.000 0.500
Se6 0.208 0.241 0.990
Tm1 0.000 0.500 0.000
Se7 0.194 0.726 0.944
K4 0.500 0.500 0.000
Se8 0.259 0.292 0.510
Tm2 0.000 0.500 0.500

---

4.
## KTmTeSe (PBE)

Data for a relaxed KTmTeSe crystal.

theoretical density	5.34	g/cm3
size of the total moment	0.0	μB/cell
ΔE_f (raw)	-6.09	eV per formula unit
Fermi-level density of states	0.00	states/eV/cell
crystal system	trigonal

Cell: 4.274 4.274 8.516 Å, 90.01 104.53 120.00°
Fractional coordinates of all 4 atoms:
Se1 0.504 0.150 0.669
Tm1 0.293 0.544 0.853
Te1 0.107 0.951 0.073
K1 0.974 0.385 0.374

---

One value per record, in order, for energy: -2.818 -3.212 -4.032 -4.572 eV per atom.